Record 1
First-principles (PBE-GGA) data for a relaxed structure of Zn7Ga3Ag, as listed in Alexandria via LeMat-Bulk.

a b c (Å): 6.564 6.564 5.343
angles (deg): 112.25 112.25 81.03
Fractional positions:
Zn 0.000 0.000 0.000
Zn 0.066 0.555 0.280
Zn 0.269 0.269 0.556
Zn 0.445 0.934 0.720
Zn 0.555 0.066 0.280
Zn 0.731 0.731 0.444
Zn 0.934 0.445 0.720
Ga 0.320 0.680 0.000
Ga 0.500 0.500 0.500
Ga 0.680 0.320 0.000
Ag 0.000 0.000 0.500

Properties
Space-group type: C2/m, No. 12
Uncorrected energy in eV per cell: -19.754

Record 2
First-principles (PBE-GGA) data for a relaxed structure of Zn2Ga2Ag3, as listed in Alexandria via LeMat-Bulk.

a b c (Å): 3.406 5.665 6.731
angles (deg): 73.71 90.00 73.02
Fractional positions:
Zn 0.065 0.368 0.218
Zn 0.935 0.632 0.782
Ga 0.361 0.779 0.074
Ga 0.639 0.221 0.926
Ag 0.226 0.049 0.656
Ag 0.500 0.500 0.500
Ag 0.774 0.951 0.344

Properties
Space-group type: P-1, No. 2
Energy above the most stable polymorph in this dataset in meV per atom: 0
Uncorrected energy in eV per cell: -17.229

no.,formation enthalpy at 0 K (meV per atom),calculated density (g/cm3),volume (Å³/cell)
1,100,6.53,197
2,-11,8.30,119